Density functional theory data (PBE) for LaY4Ho4 after structural relaxation.

Geometry as extended XYZ:
```
9
Lattice="-4.6981 0.5172 -1.7484 -5.0472 -3.0582 5.3949 -2.8564 7.0391 2.4948" Properties=species:S:1:pos:R:3 pbc="T T T"
La 0.0000 0.0000 0.0000
Y -5.7673 1.6722 1.4665
Y -6.8343 2.8259 4.6748
Y -9.0146 0.8271 2.6795
Y -3.5870 3.6710 3.4619
Ho -9.3450 5.3549 4.9067
Ho -3.2566 -0.8568 1.2346
Ho -5.0348 5.0169 0.4876
Ho -7.5668 -0.5187 5.6537
```

* ρ: 6.61 g/cm3
* energy of formation: 29 meV per atom
* DOS(E_F): 13.93 states/eV/cell
* relative energy among the computed polymorphs: 0 meV/atom
* E: -48.84 eV for the cell shown
* space group: I4/mmm, No. 139